The following is a DFT calculation (PBE with a Hubbard U) of crystalline YFeIrO6 at its relaxed geometry.

Unit cell a=5.3434 b=5.3434 c=8.6979 alpha=90.00 beta=90.00 gamma=120.00
Fractional coordinates of all 18 atoms:
Y  0.3333  0.6667  0.2500
Y  0.6667  0.3333  0.7500
Fe  0.0000  0.0000  0.0000
Fe  0.0000  0.0000  0.5000
Ir  0.6667  0.3333  0.2500
Ir  0.3333  0.6667  0.7500
O  0.6896  0.6476  0.1224
O  0.9580  0.3104  0.1224
O  0.3104  0.9580  0.6224
O  0.0420  0.6896  0.8776
O  0.3524  0.3104  0.3776
O  0.9580  0.6476  0.3776
O  0.6476  0.9580  0.8776
O  0.6896  0.0420  0.3776
O  0.0420  0.3524  0.6224
O  0.3524  0.0420  0.1224
O  0.6476  0.6896  0.6224
O  0.3104  0.3524  0.8776

Total magnetization   0.260 μB per atom
Space-group type   P-31c
Total DFT energy (no corrections)   -7.154 eV per atom
Calculated volume   215.1 Å³/cell